(1)
Compound: La2FeIr
Source: Alexandria via LeMat-Bulk
Functional: PBE-GGA
Structure: relaxed

Cell and atoms, written as extended XYZ:
```
4
Lattice="4.2880 0.0000 0.0000 0.0000 4.1774 0.0000 -2.1372 0.0000 5.5066" Properties=species:S:1:pos:R:3 pbc="T T T"
La 0.0000 0.0000 0.0000
La 0.0041 2.0887 3.1988
Fe 2.1465 0.0000 2.2401
Ir 2.1430 2.0887 0.9276
```

Summary:
Symmetry: Pm (6)
Formation enthalpy at 0 K in eV per atom: -0.28

=====

(2)
Compound: K2TbNdSe4
Source: Alexandria via LeMat-Bulk
Functional: PBE-GGA
Structure: relaxed

Cell and atoms, written as extended XYZ:
```
8
Lattice="7.4335 0.0000 0.0000 0.0000 4.2921 0.0000 -2.4760 0.0000 7.6969" Properties=species:S:1:pos:R:3 pbc="T T T"
K 0.0000 0.0000 0.0000
K 3.7168 2.1460 0.0000
Tb -1.2380 2.1460 3.8485
Nd 2.4787 0.0000 3.8485
Se -0.0446 0.0000 5.4404
Se 1.1931 2.1460 2.2345
Se 3.7644 2.1460 5.4624
Se 5.0021 0.0000 2.2566
```

Summary:
Symmetry: P2/m (10)
Formation energy without anion corrections in eV/f.u.: -14.061

=====

(3)
Compound: CaCd3S
Source: Alexandria via LeMat-Bulk
Functional: PBE-GGA
Structure: relaxed

Cell and atoms, written as extended XYZ:
```
5
Lattice="5.2895 0.0000 0.0000 0.0000 5.2895 0.0000 0.0000 0.0000 5.2895" Properties=species:S:1:pos:R:3 pbc="T T T"
Ca 0.0000 0.0000 0.0000
Cd 0.0000 2.6448 2.6448
Cd 2.6448 0.0000 2.6448
Cd 2.6448 2.6448 0.0000
S 2.6448 2.6448 2.6448
```

Summary:
Symmetry: Pm-3m (221)
Formation energy without anion corrections in eV/f.u.: 0.514

=====

(4)
Compound: La4TmGa5
Source: Alexandria via LeMat-Bulk
Functional: PBE-GGA
Structure: relaxed

Cell and atoms, written as extended XYZ:
```
10
Lattice="3.6990 0.0000 0.0000 0.0000 3.6990 0.0000 0.0000 0.0000 18.8489" Properties=species:S:1:pos:R:3 pbc="T T T"
La 0.0000 0.0000 1.9383
La 0.0000 0.0000 5.8180
La 0.0000 0.0000 13.0308
La 0.0000 0.0000 16.9106
Tm 0.0000 0.0000 9.4244
Ga 1.8495 1.8495 0.0000
Ga 1.8495 1.8495 3.8830
Ga 1.8495 1.8495 7.8441
Ga 1.8495 1.8495 11.0048
Ga 1.8495 1.8495 14.9659
```

Summary:
Symmetry: P4/mmm (123)
Formation enthalpy at 0 K in eV per atom: -0.57

=====

(5)
Compound: Pr2AgSn4
Source: Alexandria via LeMat-Bulk
Functional: PBE-GGA
Structure: relaxed

Cell and atoms, written as extended XYZ:
```
7
Lattice="4.6050 0.0000 0.0000 0.0000 4.6050 0.0000 0.0000 0.0000 9.2888" Properties=species:S:1:pos:R:3 pbc="T T T"
Pr 0.0000 2.3025 2.0720
Pr 2.3025 0.0000 7.2168
Ag 2.3025 2.3025 0.0000
Sn 0.0000 0.0000 4.6444
Sn 0.0000 2.3025 7.5630
Sn 2.3025 0.0000 1.7258
Sn 2.3025 2.3025 4.6444
```

Summary:
Symmetry: P-4m2 (115)
Formation enthalpy at 0 K in eV per atom: -0.43

=====

(6)
Compound: Pr6HPb2O
Source: Alexandria via LeMat-Bulk
Functional: PBE-GGA
Structure: relaxed

Cell and atoms, written as extended XYZ:
```
20
Lattice="7.1467 0.0000 0.0000 0.0000 10.1851 0.0000 0.0000 0.0000 7.1466" Properties=species:S:1:pos:R:3 pbc="T T T"
Pr 0.0092 2.5463 0.0105
Pr 0.0085 2.5463 3.5658
Pr 1.7867 0.0432 1.7838
Pr 1.7867 5.0494 1.7838
Pr 3.5642 2.5463 0.0105
Pr 3.5649 2.5463 3.5658
Pr 3.5819 7.6388 3.5808
Pr 3.5826 7.6388 7.1361
Pr 5.3601 5.1358 5.3628
Pr 5.3601 10.1419 5.3628
Pr 7.1383 7.6388 3.5808
Pr 7.1375 7.6388 7.1361
H 1.7867 7.6388 1.7827
H 5.3601 2.5463 5.3639
Pb 1.7867 0.0000 5.3581
Pb 1.7867 5.0926 5.3581
Pb 5.3601 0.0000 1.7885
Pb 5.3601 5.0926 1.7885
O 1.7867 2.5463 1.7903
O 5.3601 7.6388 5.3563
```

Summary:
Symmetry: Pmmn (59)
Energy in eV per atom: -5.313

=====

Total magnetic moment across the listed records, respectively: 0.3663 0.0000 0.0000 0.0000 0.0000 0.0002 μB per atom.